## BaFeAg2 (GGA-PBE)

Data for BaFeAg2 after structural relaxation.

```
BaFeAg2
1.0
3.897 0.000 0.000
0.000 4.830 0.000
0.000 0.000 5.048
Ba Fe Ag
1 1 2
Direct
0.000 0.000 0.000
0.500 0.500 0.000
0.000 0.500 0.500
0.500 0.000 0.500
```

Properties
- E_tot (eV/atom) = -3.43
- E above lowest polymorph (eV per atom) = 0.397



## La2TmNi (GGA-PBE)

Data for La2TmNi after structural relaxation.

```
La2TmNi
1.0
3.666 0.000 0.000
0.000 3.666 0.000
0.000 0.000 8.350
La Tm Ni
2 1 1
Direct
0.000 0.000 0.199
0.000 0.000 0.801
0.500 0.500 0.500
0.500 0.500 0.000
```

Properties
- E_tot (eV/atom) = -5.09
- E above lowest polymorph (eV per atom) = 0.132



## Ca2PtAu (GGA-PBE)

Data for Ca2PtAu after structural relaxation.

```
Ca2PtAu
1.0
-3.930 3.930 3.098
3.930 -3.930 3.098
3.930 3.930 -3.098
Ca Pt Au
4 2 2
Direct
0.109 0.125 0.484
0.375 0.891 0.016
0.641 0.625 0.516
0.875 0.359 0.984
0.000 0.000 0.000
0.750 0.250 0.500
0.250 0.750 0.500
0.500 0.500 0.000
```

Properties
- E_tot (eV/atom) = -3.85



Ordered ΔE_f results: 596, -62, -521; unit meV/atom.